1.
Material: Li2NbIrO6
Method: DFT, GGA-PBE
State: optimized geometry

```
Li2NbIrO6
1.0
-0.822 3.304 1.855
-5.398 -1.600 0.457
1.155 -2.485 4.939
Li Nb Ir O
2 1 1 6
Cartesian
-3.397 2.005 1.804 Li
-0.121 1.563 4.044 Li
-0.566 2.275 1.277 Nb
-2.713 0.335 4.033 Ir
-1.664 1.379 2.705 O
-1.089 0.141 5.163 O
-2.304 -1.309 3.110 O
-0.171 0.688 0.386 O
-3.776 -0.655 5.391 O
-4.351 0.582 2.932 O
```

Computed properties:
The formation energy without anion corrections is -16.67 eV/f.u. The magnetic moment comes out at 0.0 Bohr magnetons per cell. Its space group is P4mm (99).

2.
Material: Ta2MnIn
Method: DFT, GGA-PBE
State: optimized geometry

```
Ta2MnIn
1.0
5.180 -0.050 0.000
2.044 4.760 0.000
-3.612 -2.355 2.871
In Mn Ta
1 1 2
Cartesian
3.612 2.355 0.000 In
2.590 -0.025 1.436 Mn
0.000 0.000 0.000 Ta
1.022 2.380 1.436 Ta
```

Computed properties:
The magnetic moment comes out at 2.8 Bohr magnetons per cell. Its space group is I-4m2 (119). The formation energy is 1.11 eV/f.u.

3.
Material: LiCdCl3
Method: DFT, GGA-PBE
State: optimized geometry

```
LiCdCl3
1.0
-1.035 -2.521 -3.009
6.039 0.146 -2.201
2.736 -6.314 7.088
Li Cd Cl
2 2 6
Cartesian
6.877 -7.042 0.796 Li
3.127 -1.592 0.258 Li
4.553 -5.005 2.628 Cd
0.259 -3.754 0.318 Cd
3.043 -7.091 2.156 Cl
5.357 -1.582 -0.518 Cl
1.553 -2.297 -1.348 Cl
6.676 -6.380 3.049 Cl
5.257 -5.318 -0.091 Cl
2.531 -3.369 1.952 Cl
```

Computed properties:
The formation energy without anion corrections is -6.77 eV/f.u. The magnetic moment comes out at 0.0 Bohr magnetons per cell. Its space group is Cmc2_1 (36). The value obtained for the offset from the most stable computed form is 19 meV/atom.

Number 1: total DFT energy (no corrections) -69.2 eV for the cell shown. Number 2: total DFT energy (no corrections) -34.5 eV for the cell shown. Number 3: total DFT energy (no corrections) -30.3 eV for the cell shown.